La3Al2Co (PBE, relaxed); DOS at the Fermi energy = 5.9 states/eV/f.u.; V = 326 Å³/cell; DFT total energy = -5.130 eV/atom; ΔE_f = -0.23 eV/atom
1.0
-5.745 1.290 3.205
-4.045 -3.896 -3.660
-0.752 -6.153 4.462
La Al Co
6 4 2
Direct
0.407 0.593 0.250
0.593 0.407 0.750
0.076 0.237 0.027
0.763 0.924 0.473
0.924 0.763 0.973
0.237 0.076 0.527
0.924 0.468 0.365
0.532 0.076 0.135
0.468 0.924 0.865
0.076 0.532 0.635
0.715 0.285 0.250
0.285 0.715 0.750